[1]
Material: GdSb
Method: DFT, PBE
State: optimized geometry

The structure in POSCAR format:
```
GdSb
1.0
4.1535 0.0000 -0.0089
0.0000 4.7428 0.0000
-2.0588 0.0000 5.9071
Gd Sb
2 2
Direct
0.3775 0.7500 0.7555
0.6225 0.2500 0.2445
0.8852 0.2500 0.7713
0.1148 0.7500 0.2287
```

Properties
SG = P2_1/m (11)
E_form (uncorrected) = -2.10 eV per formula unit
M_tot = 14.11 μB per cell
Mass density = 8.0 g/cm³
Final energy = -10.150 eV/atom

***

[2]
Material: Tb3HoIn4
Method: DFT, PBE
State: optimized geometry

The structure in POSCAR format:
```
Tb3HoIn4
1.0
3.7669 0.0000 0.0000
0.0000 3.7669 0.0000
0.0000 0.0000 15.0801
Tb In Ho
3 4 1
Direct
0.5000 0.5000 0.5000
0.5000 0.5000 0.2486
0.5000 0.5000 0.7514
0.0000 0.0000 0.1227
0.0000 0.0000 0.3743
0.0000 0.0000 0.8773
0.0000 0.0000 0.6257
0.5000 0.5000 0.0000
```

Properties
SG = P4/mmm (123)
M_tot = 0.00 μB per cell
Mass density = 8.5 g/cm³
Formation enthalpy at 0 K = -0.472 eV per atom
Final energy = -4.150 eV/atom

***

[3]
Material: Nd3Ni2P4Ru2
Method: DFT, PBE
State: optimized geometry

The structure in POSCAR format:
```
Nd3Ni2P4Ru2
1.0
3.9380 0.0000 0.0000
-1.9690 3.4104 0.0000
0.0000 0.0000 14.9778
Ni P Ru Nd
2 4 2 3
Direct
0.6667 0.3333 0.8602
0.3333 0.6667 0.1398
0.3333 0.6667 0.8646
0.6667 0.3333 0.1354
0.3333 0.6667 0.4031
0.6667 0.3333 0.5969
0.3333 0.6667 0.5609
0.6667 0.3333 0.4391
0.0000 0.0000 0.2734
0.0000 0.0000 0.0000
0.0000 0.0000 0.7266
```

Properties
SG = P-3m1 (164)
M_tot = 0.00 μB per cell
Mass density = 7.2 g/cm³
Formation enthalpy at 0 K = -1.061 eV per atom
Final energy = -7.067 eV/atom

***

Number 1: DOS at the Fermi energy 0.658 states/eV per atom. Number 2: DOS at the Fermi energy 0.591 states/eV per atom. Number 3: DOS at the Fermi energy 0.677 states/eV per atom.